MnGaPt3, optimized geometry, DFT PBE; space-group type = C2/c, No. 15; E = -6.54 eV per atom
1.0
2.2576 -7.5806 0.0000
2.2576 7.5806 0.0000
-3.5586 0.0000 4.4173
Mn Ga Pt
2 2 6
Cartesian
-0.4114 6.0418 3.3130 Mn
1.3680 -6.0418 1.1043 Mn
1.3680 6.0373 1.1043 Ga
-0.4114 -6.0373 3.3130 Ga
-0.4114 2.9085 3.3130 Pt
1.3680 2.8803 1.1043 Pt
1.3680 -0.0017 1.1043 Pt
-0.4114 0.0017 3.3130 Pt
-0.4114 -2.8803 3.3130 Pt
1.3680 -2.9085 1.1043 Pt

MnGa2Pt, optimized geometry, DFT PBE; space-group type = Fm-3m, No. 225; E = -5.54 eV per atom
1.0
0.0000 3.0286 3.0286
3.0286 0.0000 3.0286
3.0286 3.0286 0.0000
Mn Ga Pt
1 2 1
Cartesian
0.0000 0.0000 0.0000 Mn
1.5143 1.5143 1.5143 Ga
4.5429 4.5429 4.5429 Ga
3.0286 3.0286 3.0286 Pt

Mn2GaPt2, optimized geometry, DFT PBE; space-group type = P4/mbm, No. 127; E = -6.63 eV per atom
1.0
6.2104 0.0000 0.0000
0.0000 6.2104 0.0000
0.0000 0.0000 3.7747
Mn Ga Pt
4 2 4
Cartesian
0.7545 2.3507 0.0000 Mn
2.3507 5.4559 0.0000 Mn
3.8597 0.7545 0.0000 Mn
5.4559 3.8597 0.0000 Mn
0.0000 0.0000 0.0000 Ga
3.1052 3.1052 0.0000 Ga
1.0256 4.1308 1.8873 Pt
2.0796 1.0256 1.8873 Pt
4.1308 5.1848 1.8873 Pt
5.1848 2.0796 1.8873 Pt

Mn2Ga2Pt, optimized geometry, DFT PBE; space-group type = I4/mmm, No. 139; E = -5.73 eV per atom
1.0
-2.2451 2.2451 3.7173
2.2451 -2.2451 3.7173
2.2451 2.2451 -3.7173
Mn Ga Pt
2 2 1
Cartesian
0.0000 0.0000 0.9804 Mn
0.0000 0.0000 6.4541 Mn
2.2451 0.0000 1.8586 Ga
0.0000 2.2451 1.8586 Ga
0.0000 0.0000 3.7173 Pt

MnGa3Pt, optimized geometry, DFT PBE; space-group type = Pm-3m, No. 221; E = -4.58 eV per atom
1.0
5.0609 0.0000 0.0000
0.0000 5.0609 0.0000
0.0000 0.0000 5.0609
Mn Ga Pt
1 3 1
Cartesian
0.0000 0.0000 0.0000 Mn
0.0000 2.5304 2.5304 Ga
2.5304 0.0000 2.5304 Ga
2.5304 2.5304 0.0000 Ga
2.5304 2.5304 2.5304 Pt

MnGaPt5, optimized geometry, DFT PBE; space-group type = P4/mmm, No. 123; E = -6.43 eV per atom
1.0
3.9214 0.0000 0.0000
0.0000 3.9214 0.0000
0.0000 0.0000 7.3088
Mn Ga Pt
1 1 5
Cartesian
0.0000 0.0000 0.0000 Mn
1.9607 1.9607 3.6544 Ga
0.0000 1.9607 1.9814 Pt
0.0000 1.9607 5.3274 Pt
1.9607 0.0000 1.9814 Pt
1.9607 0.0000 5.3274 Pt
1.9607 1.9607 0.0000 Pt

MnGa2Pt2, optimized geometry, DFT PBE; space-group type = Pmmn, No. 59; E = -5.95 eV per atom
1.0
4.1044 0.0000 0.0000
0.0000 4.2394 0.0000
0.0000 0.0000 9.5968
Mn Ga Pt
2 4 4
Cartesian
1.0261 1.0599 1.7562 Mn
3.0783 3.1796 7.8406 Mn
1.0261 1.0599 4.7199 Ga
1.0261 1.0599 7.8889 Ga
3.0783 3.1796 1.7079 Ga
3.0783 3.1796 4.8769 Ga
1.0261 3.1796 3.2801 Pt
1.0261 3.1796 9.5582 Pt
3.0783 1.0599 0.0386 Pt
3.0783 1.0599 6.3167 Pt

MnGaPt3, optimized geometry, DFT PBE; space-group type = Pm-3m, No. 221; E = -5.23 eV per atom
1.0
4.5675 0.0000 0.0000
0.0000 4.5675 0.0000
0.0000 0.0000 4.5675
Mn Ga Pt
1 1 3
Cartesian
0.0000 0.0000 0.0000 Mn
2.2837 2.2837 2.2837 Ga
0.0000 0.0000 2.2837 Pt
0.0000 2.2837 0.0000 Pt
2.2837 0.0000 0.0000 Pt

Mn2GaPt9, optimized geometry, DFT PBE; space-group type = P4/mmm, No. 123; E = -6.70 eV per atom
1.0
3.9403 0.0000 0.0000
0.0000 3.9403 0.0000
0.0000 0.0000 11.7651
Mn Ga Pt
2 1 9
Cartesian
0.0000 0.0000 1.9569 Mn
0.0000 0.0000 9.8082 Mn
0.0000 0.0000 5.8825 Ga
0.0000 1.9701 0.0000 Pt
0.0000 1.9701 3.9074 Pt
0.0000 1.9701 7.8577 Pt
1.9701 0.0000 0.0000 Pt
1.9701 0.0000 3.9074 Pt
1.9701 0.0000 7.8577 Pt
1.9701 1.9701 1.9612 Pt
1.9701 1.9701 5.8825 Pt
1.9701 1.9701 9.8038 Pt

Pu2MnGa3Pt4, optimized geometry, DFT PBE; space-group type = P-4m2, No. 115; E = -7.77 eV per atom
1.0
4.0983 0.0000 0.0000
0.0000 4.0983 0.0000
0.0000 0.0000 11.2601
Pu Mn Ga Pt
2 1 3 4
Cartesian
0.0000 2.0491 2.8005 Pu
2.0491 0.0000 8.4596 Pu
2.0491 2.0491 0.0000 Mn
0.0000 0.0000 0.0000 Ga
0.0000 2.0491 7.1256 Ga
2.0491 0.0000 4.1345 Ga
0.0000 0.0000 5.6300 Pt
0.0000 2.0491 9.6202 Pt
2.0491 0.0000 1.6399 Pt
2.0491 2.0491 5.6300 Pt

MnGaPtRh, optimized geometry, DFT PBE; space-group type = Pmmm, No. 47; E = -6.92 eV per atom
1.0
3.4344 0.0000 0.0000
0.0000 4.0906 0.0000
0.0000 0.0000 4.1491
Mn Ga Pt Rh
1 1 1 1
Cartesian
0.0000 0.0000 0.0000 Mn
0.0000 2.0453 2.0746 Ga
1.7172 2.0453 0.0000 Pt
1.7172 0.0000 2.0746 Rh

Sm2MnGa4Pt3, optimized geometry, DFT PBE; space-group type = P-4m2, No. 115; E = -5.70 eV per atom
1.0
4.1363 0.0000 0.0000
0.0000 4.1363 0.0000
0.0000 0.0000 11.0827
Sm Mn Ga Pt
2 1 4 3
Cartesian
0.0000 2.0682 2.7554 Sm
2.0682 0.0000 8.3273 Sm
2.0682 2.0682 0.0000 Mn
0.0000 0.0000 5.5413 Ga
0.0000 2.0682 9.5822 Ga
2.0682 0.0000 1.5005 Ga
2.0682 2.0682 5.5413 Ga
0.0000 0.0000 0.0000 Pt
0.0000 2.0682 7.0669 Pt
2.0682 0.0000 4.0157 Pt

no.,density (g cm⁻³),size of the total moment (Bohr magnetons per cell)
1,15.59,8.18
2,11.64,0.21
3,13.00,6.13
4,9.85,2.13
5,5.88,4.28
6,16.25,3.94
7,11.63,8.05
8,12.37,0.23
9,17.59,8.35
10,13.46,14.88
11,12.04,4.61
12,10.68,3.05